This record from Alexandria describes GaFe2CoN after structural relaxation. The functional is PBE-GGA.

a = 3.7683 Å, b = 3.7683 Å, c = 3.7896 Å
α = 90.00°, β = 90.00°, γ = 90.00°
Positions (direct):
1 N 0.0000 0.0000 0.0000
2 Ga 0.5000 0.5000 0.5000
3 Fe 0.5000 0.0000 0.0000
4 Co 0.0000 0.0000 0.5000
5 Fe 0.0000 0.5000 0.0000

- DOS(E_F): 5.4 states/eV per cell
- ΔE to the lowest computed polymorph: 0 meV/atom
- Raw formation energy: -160 meV per atom
- Total magnetization: 3.933 μB/cell